! TiFe3O6 (GGA-PBEsol, optimized geometry); values from VASP
&SYSTEM
  ibrav = 0, nat = 10, ntyp = 3
/
ATOMIC_SPECIES
O 16.00 O.upf
Ti 47.87 Ti.upf
Fe 55.84 Fe.upf
CELL_PARAMETERS angstrom
-4.111 -0.870 2.294
0.032 -0.949 4.692
-1.802 3.897 3.243
ATOMIC_POSITIONS angstrom
O -1.526 2.158 6.111
O -4.219 -0.042 4.111
Ti -1.594 1.774 2.812
O -2.801 -0.378 6.450
O -1.477 0.227 4.111
Fe -2.734 -1.065 4.688
Fe -3.142 3.083 5.530
O -4.464 1.842 6.247
O -3.164 2.492 3.671
Fe -4.287 0.299 7.416
! * formation energy (no corrections): -1.7101 eV/atom
! * magnetic moment: 6.042 Bohr magnetons per cell
! * space-group type: No. 146
! * DOS at the Fermi energy: 2.44 states/eV/f.u.